! TaFeRu2 (SCAN, PBEsol geometry); values from VASP
! DOS(E_F)	3.5	states/eV per cell
! formation energy	-0.196	eV per atom
! energy above the most stable polymorph in this dataset	159.1	meV per atom
! raw total energy	-155.15	eV for the cell shown
&SYSTEM
  ibrav = 0, nat = 4, ntyp = 3
/
ATOMIC_SPECIES
Ta 180.95 Ta.upf
Fe 55.84 Fe.upf
Ru 101.07 Ru.upf
CELL_PARAMETERS angstrom
3.837 0.000 0.000
0.000 3.837 0.000
0.000 0.000 3.709
ATOMIC_POSITIONS angstrom
Ta 0.000 0.000 0.000
Fe 1.918 1.918 0.000
Ru 0.000 1.918 1.854
Ru 1.918 0.000 1.854